{"formula": "LiLa2CdPt", "functional": "GGA-PBE", "state": "optimized geometry", "mass_density_g_cm3": 7.297, "relative_energy_mev_per_atom": 0, "dft_energy_ev_per_atom": -4.32, "formation_energy_mev_per_atom": -576, "lattice_angstrom": [[7.7998, 0.0000, 0.0000], [0.0000, 4.6300, 0.0000], [-2.5891, 0.0000, 7.4642]], "species": ["Li", "Li", "La", "La", "La", "La", "Cd", "Cd", "Pt", "Pt"], "fractional_positions": [[0.0584, 0.2500, 0.1629], [0.9416, 0.7500, 0.8371], [0.2169, 0.7500, 0.5428], [0.3906, 0.7500, 0.1675], [0.6094, 0.2500, 0.8325], [0.7831, 0.2500, 0.4572], [0.1633, 0.2500, 0.8442], [0.8367, 0.7500, 0.1558], [0.3819, 0.2500, 0.4098], [0.6181, 0.7500, 0.5902]]}